1.
This record from Alexandria describes a relaxed structure of Pr2NdZn3. The functional is GGA-PBE.

```
Pr2NdZn3
1.0
-3.658 0.470 -0.355
-0.475 -1.042 3.524
1.043 10.587 3.271
Pr Nd Zn
2 1 3
Cartesian
-1.199 8.527 4.307
-1.892 1.488 2.133
-1.545 5.007 3.220
0.000 0.000 0.000
0.692 7.029 2.172
0.350 3.558 1.099
```

Calculated values
Space-group type ... No. 123
Energy relative to the elements ... -0.298 eV/atom
Distance to the lowest polymorph of the same formula ... 7.8 meV/atom
DOS at the Fermi energy ... 7.87 states/eV/f.u.
Size of the total moment ... 0.001 μB per formula unit

2.
This record from Alexandria describes a relaxed structure of Dy3ThMg2. The functional is GGA-PBE.

```
Dy3ThMg2
1.0
3.614 0.000 0.000
0.000 3.614 0.000
0.000 0.000 13.226
Dy Th Mg
3 1 2
Cartesian
0.000 0.000 0.000
0.000 0.000 9.015
0.000 0.000 4.211
1.807 1.807 6.613
1.807 1.807 11.151
1.807 1.807 2.075
```

Calculated values
Space-group type ... No. 123
Energy relative to the elements ... -0.051 eV/atom
DOS at the Fermi energy ... 5.27 states/eV/f.u.
Size of the total moment ... 0.186 μB per formula unit

3.
This record from Alexandria describes a relaxed structure of Mg3Ga2Hg6. The functional is GGA-PBE.

```
Mg3Ga2Hg6
1.0
-3.600 2.900 0.209
-2.650 -3.408 1.666
6.407 3.476 10.877
Mg Ga Hg
3 2 6
Cartesian
0.000 0.000 0.000
-0.790 2.037 9.339
0.948 0.931 3.413
2.367 2.324 8.520
-2.209 0.645 4.232
-0.881 -1.269 2.430
-1.356 1.886 1.702
1.039 4.237 10.322
1.514 1.083 11.050
-1.507 1.334 6.761
1.664 1.634 5.991
```

Calculated values
Space-group type ... No. 139
Energy relative to the elements ... -0.009 eV/atom
DOS at the Fermi energy ... 5.31 states/eV/f.u.
Size of the total moment ... 0.000 μB per formula unit

4.
This record from Alexandria describes a relaxed structure of YbAl2Ni. The functional is GGA-PBE.

```
YbAl2Ni
1.0
-2.053 0.584 -3.505
5.087 -1.294 -0.780
-1.781 -6.937 -0.112
Ni Yb Al
2 2 4
Cartesian
1.336 -2.174 -1.141
-0.083 -5.473 -3.257
2.153 -2.336 -4.039
-0.899 -5.310 -0.358
1.057 -7.215 -1.813
0.196 -0.431 -2.584
-0.491 -3.106 -2.627
1.744 -4.540 -1.770
```

Calculated values
Space-group type ... No. 11
Energy relative to the elements ... -0.531 eV/atom
DOS at the Fermi energy ... 1.59 states/eV/f.u.
Size of the total moment ... 0.000 μB per formula unit